A) # TlCrP2Cl | Alexandria | GGA-PBE | optimized geometry
data_TlCrP2Cl
_chemical_formula_sum 'Tl1 Cr1 P2 Cl1'
_cell_length_a 4.4652
_cell_length_b 4.4652
_cell_length_c 5.5622
_cell_angle_alpha 90.00
_cell_angle_beta 90.00
_cell_angle_gamma 90.00
_symmetry_space_group_name_H-M 'P 4/m m m'
_symmetry_Int_Tables_number 123
_symmetry_space_group_name_Hall '-P 4 2'
loop_
_atom_site_label
_atom_site_fract_x
_atom_site_fract_y
_atom_site_fract_z
_atom_site_occupancy
Tl1 0.0000 0.0000 0.0000 1
Cr1 0.5000 0.5000 0.5000 1
P1 0.0000 0.5000 0.5000 1
Cl1 0.5000 0.5000 0.0000 1
# density of states at the Fermi level: 2.7 states/eV per cell
# total moment: 1.41 μB/cell

---

B) # TlCrP2Cl | Alexandria | GGA-PBE | optimized geometry
data_TlCrP2Cl
_chemical_formula_sum 'Tl1 Cr1 P2 Cl1'
_cell_length_a 5.1182
_cell_length_b 5.1182
_cell_length_c 5.3775
_cell_angle_alpha 90.00
_cell_angle_beta 90.00
_cell_angle_gamma 90.00
_symmetry_space_group_name_H-M 'P 4/m m m'
_symmetry_Int_Tables_number 123
_symmetry_space_group_name_Hall '-P 4 2'
loop_
_atom_site_label
_atom_site_fract_x
_atom_site_fract_y
_atom_site_fract_z
_atom_site_occupancy
Tl1 0.0000 0.0000 0.0000 1
Cr1 0.5000 0.5000 0.5000 1
P1 0.0000 0.5000 0.0000 1
Cl1 0.0000 0.0000 0.5000 1
# density of states at the Fermi level: 3.8 states/eV per cell
# total moment: 3.14 μB/cell

---

Each structure's energy above the most stable one, in meV per atom: A) 0; B) 1116.

---

A) # ZnCrP2Cl | Alexandria | GGA-PBE | optimized geometry
data_ZnCrP2Cl
_chemical_formula_sum 'Zn1 Cr1 P2 Cl1'
_cell_length_a 4.5501
_cell_length_b 4.5501
_cell_length_c 4.8732
_cell_angle_alpha 90.00
_cell_angle_beta 90.00
_cell_angle_gamma 90.00
_symmetry_space_group_name_H-M 'P 4/m m m'
_symmetry_Int_Tables_number 123
_symmetry_space_group_name_Hall '-P 4 2'
loop_
_atom_site_label
_atom_site_fract_x
_atom_site_fract_y
_atom_site_fract_z
_atom_site_occupancy
Zn1 0.0000 0.0000 0.0000 1
Cr1 0.5000 0.5000 0.5000 1
P1 0.0000 0.5000 0.0000 1
Cl1 0.0000 0.0000 0.5000 1
# density of states at the Fermi level: 4.9 states/eV per cell
# total moment: 0.08 μB/cell

---

B) # ZnCrP2Cl | Alexandria | GGA-PBE | optimized geometry
data_ZnCrP2Cl
_chemical_formula_sum 'Zn1 Cr1 P2 Cl1'
_cell_length_a 4.3861
_cell_length_b 4.3861
_cell_length_c 5.0829
_cell_angle_alpha 90.00
_cell_angle_beta 90.00
_cell_angle_gamma 90.00
_symmetry_space_group_name_H-M 'P 4/m m m'
_symmetry_Int_Tables_number 123
_symmetry_space_group_name_Hall '-P 4 2'
loop_
_atom_site_label
_atom_site_fract_x
_atom_site_fract_y
_atom_site_fract_z
_atom_site_occupancy
Zn1 0.0000 0.0000 0.0000 1
Cr1 0.5000 0.5000 0.5000 1
P1 0.0000 0.5000 0.5000 1
Cl1 0.5000 0.5000 0.0000 1
# density of states at the Fermi level: 2.0 states/eV per cell
# total moment: 0.72 μB/cell

---

Each structure's energy above the most stable one, in meV per atom: A) 922; B) 0.

---

A) # ZnCrPCl2 | Alexandria | GGA-PBE | optimized geometry
data_ZnCrPCl2
_chemical_formula_sum 'Zn1 Cr1 P1 Cl2'
_cell_length_a 4.3335
_cell_length_b 4.3335
_cell_length_c 5.7481
_cell_angle_alpha 90.00
_cell_angle_beta 90.00
_cell_angle_gamma 90.00
_symmetry_space_group_name_H-M 'P 4/m m m'
_symmetry_Int_Tables_number 123
_symmetry_space_group_name_Hall '-P 4 2'
loop_
_atom_site_label
_atom_site_fract_x
_atom_site_fract_y
_atom_site_fract_z
_atom_site_occupancy
Zn1 0.0000 0.0000 0.0000 1
Cr1 0.0000 0.0000 0.5000 1
P1 0.5000 0.5000 0.0000 1
Cl1 0.0000 0.5000 0.5000 1
# density of states at the Fermi level: 4.9 states/eV per cell
# total moment: 1.46 μB/cell

---

B) # ZnCrPCl2 | Alexandria | GGA-PBE | optimized geometry
data_ZnCrPCl2
_chemical_formula_sum 'Zn1 Cr1 P1 Cl2'
_cell_length_a 4.7229
_cell_length_b 4.7229
_cell_length_c 4.8077
_cell_angle_alpha 90.00
_cell_angle_beta 90.00
_cell_angle_gamma 90.00
_symmetry_space_group_name_H-M 'P 4/m m m'
_symmetry_Int_Tables_number 123
_symmetry_space_group_name_Hall '-P 4 2'
loop_
_atom_site_label
_atom_site_fract_x
_atom_site_fract_y
_atom_site_fract_z
_atom_site_occupancy
Zn1 0.0000 0.0000 0.0000 1
Cr1 0.5000 0.5000 0.5000 1
P1 0.5000 0.5000 0.0000 1
Cl1 0.0000 0.5000 0.5000 1
# density of states at the Fermi level: 1.9 states/eV per cell
# total moment: 2.39 μB/cell

---

Each structure's energy above the most stable one, in meV per atom: A) 547; B) 0.

---

A) # PaCrCl6 | Alexandria | GGA-PBE | optimized geometry
data_PaCrCl6
_chemical_formula_sum 'Pa3 Cr3 Cl18'
_cell_length_a 6.6287
_cell_length_b 6.6287
_cell_length_c 17.8831
_cell_angle_alpha 90.00
_cell_angle_beta 90.00
_cell_angle_gamma 120.00
_symmetry_space_group_name_H-M 'R -3'
_symmetry_Int_Tables_number 148
_symmetry_space_group_name_Hall '-R 3'
loop_
_atom_site_label
_atom_site_fract_x
_atom_site_fract_y
_atom_site_fract_z
_atom_site_occupancy
Pa1 0.0000 0.0000 0.0000 1
Cr1 0.0000 0.0000 0.5000 1
Cl1 0.0055 0.6366 0.2483 1
# density of states at the Fermi level: 18.2 states/eV per cell
# total moment: 15.00 μB/cell

---

B) # PaCrCl6 | Alexandria | GGA-PBE | optimized geometry
data_PaCrCl6
_chemical_formula_sum 'Pa2 Cr2 Cl12'
_cell_length_a 6.5294
_cell_length_b 12.5080
_cell_length_c 6.5295
_cell_angle_alpha 90.00
_cell_angle_beta 110.41
_cell_angle_gamma 90.00
_symmetry_space_group_name_H-M 'C 1 2/m 1'
_symmetry_Int_Tables_number 12
_symmetry_space_group_name_Hall '-C 2y'
loop_
_atom_site_label
_atom_site_fract_x
_atom_site_fract_y
_atom_site_fract_z
_atom_site_occupancy
Pa1 0.0000 0.0000 0.0000 1
Cr1 0.0000 0.5000 0.5000 1
Cl1 0.2314 0.3595 0.7325 1
Cl2 0.2403 0.0000 0.7586 1
# density of states at the Fermi level: 11.2 states/eV per cell
# total moment: 10.00 μB/cell

---

Each structure's energy above the most stable one, in meV per atom: A) 14; B) 0.

---

A) # CrPbCl | Alexandria | GGA-PBE | optimized geometry
data_CrPbCl
_chemical_formula_sum 'Cr4 Pb4 Cl4'
_cell_length_a 6.7828
_cell_length_b 6.7828
_cell_length_c 6.7828
_cell_angle_alpha 90.00
_cell_angle_beta 90.00
_cell_angle_gamma 90.00
_symmetry_space_group_name_H-M 'F -4 3 m'
_symmetry_Int_Tables_number 216
_symmetry_space_group_name_Hall 'F -4 2 3'
loop_
_atom_site_label
_atom_site_fract_x
_atom_site_fract_y
_atom_site_fract_z
_atom_site_occupancy
Cr1 0.0000 0.0000 0.0000 1
Pb1 0.2500 0.2500 0.2500 1
Cl1 0.2500 0.2500 0.7500 1
# density of states at the Fermi level: 11.4 states/eV per cell
# total moment: 16.96 μB/cell

---

B) # CrPbCl | Alexandria | GGA-PBE | optimized geometry
data_CrPbCl
_chemical_formula_sum 'Cr2 Pb2 Cl2'
_cell_length_a 3.2763
_cell_length_b 3.2763
_cell_length_c 14.2776
_cell_angle_alpha 90.00
_cell_angle_beta 90.00
_cell_angle_gamma 90.00
_symmetry_space_group_name_H-M 'I 4 m m'
_symmetry_Int_Tables_number 107
_symmetry_space_group_name_Hall 'I 4 -2'
loop_
_atom_site_label
_atom_site_fract_x
_atom_site_fract_y
_atom_site_fract_z
_atom_site_occupancy
Cr1 0.0000 0.0000 0.0000 1
Pb1 0.0000 0.0000 0.3462 1
Cl1 0.0000 0.0000 0.5935 1
# density of states at the Fermi level: 7.7 states/eV per cell
# total moment: 8.46 μB/cell

---

Each structure's energy above the most stable one, in meV per atom: A) 415; B) 0.

---

A) # CrPbCl | Alexandria | GGA-PBE | optimized geometry
data_CrPbCl
_chemical_formula_sum 'Cr4 Pb4 Cl4'
_cell_length_a 3.4789
_cell_length_b 5.8372
_cell_length_c 15.6092
_cell_angle_alpha 90.00
_cell_angle_beta 90.00
_cell_angle_gamma 90.00
_symmetry_space_group_name_H-M 'F m m 2'
_symmetry_Int_Tables_number 42
_symmetry_space_group_name_Hall 'F 2 -2'
loop_
_atom_site_label
_atom_site_fract_x
_atom_site_fract_y
_atom_site_fract_z
_atom_site_occupancy
Cr1 0.0000 0.0000 0.0000 1
Pb1 0.0000 0.0000 0.3398 1
Cl1 0.0000 0.0000 0.6006 1
# density of states at the Fermi level: 7.0 states/eV per cell
# total moment: 15.90 μB/cell

---

B) # CrPbCl | Alexandria | GGA-PBE | optimized geometry
data_CrPbCl
_chemical_formula_sum 'Cr1 Pb1 Cl1'
_cell_length_a 4.5071
_cell_length_b 4.5071
_cell_length_c 3.8825
_cell_angle_alpha 90.00
_cell_angle_beta 90.00
_cell_angle_gamma 120.00
_symmetry_space_group_name_H-M 'P -6 m 2'
_symmetry_Int_Tables_number 187
_symmetry_space_group_name_Hall 'P -6 2'
loop_
_atom_site_label
_atom_site_fract_x
_atom_site_fract_y
_atom_site_fract_z
_atom_site_occupancy
Cr1 0.0000 0.0000 0.0000 1
Pb1 0.6667 0.3333 0.5000 1
Cl1 0.3333 0.6667 0.0000 1
# density of states at the Fermi level: 1.7 states/eV per cell
# total moment: 3.97 μB/cell

---

Each structure's energy above the most stable one, in meV per atom: A) 0; B) 235.